# 1
The following is a SCAN calculation of ScTcW2Br at its PBEsol-relaxed geometry, from Alexandria via LeMat-Bulk.

a = 4.6771 Å, b = 4.6771 Å, c = 4.9718 Å
α = 90.00°, β = 90.00°, γ = 90.00°
Fractional coordinates of all 5 atoms:
W: 0.5000 0.0000 0.0000
W: 0.0000 0.5000 0.0000
Tc: 0.0000 0.0000 0.0000
Br: 0.0000 0.0000 0.5000
Sc: 0.5000 0.5000 0.5000

Summary:
For the raw formation energy, the calculation gives 8.1 eV per formula unit. As for the total magnetic moment: 0.00 μB/atom.

# 2
The following is a SCAN calculation of TaCd at its PBEsol-relaxed geometry, from Alexandria via LeMat-Bulk.

a = 2.9077 Å, b = 2.9077 Å, c = 5.3242 Å
α = 74.15°, β = 74.15°, γ = 60.00°
Fractional coordinates of all 2 atoms:
Cd: 0.0000 0.0000 0.0000
Ta: 0.5000 0.5000 0.5000

Summary:
As for the total magnetic moment: 0.00 μB/atom. As for the formation enthalpy at 0 K: 0.34 eV/atom.

# 3
The following is a SCAN calculation of CsRbH2 at its PBEsol-relaxed geometry, from Alexandria via LeMat-Bulk.

a = 6.6374 Å, b = 6.6374 Å, c = 8.0215 Å
α = 114.44°, β = 114.44°, γ = 90.00°
Fractional coordinates of all 8 atoms:
H: 0.8541 0.3750 0.2500
H: 0.3959 0.8750 0.2500
H: 0.6250 0.6041 0.7500
H: 0.1250 0.1459 0.7500
Cs: 0.0000 0.0000 0.0000
Cs: 0.2500 0.7500 0.5000
Rb: 0.5000 0.5000 0.0000
Rb: 0.7500 0.2500 0.5000

Summary:
As for the excess energy over the best structure of this formula in the dataset: 5.3 kJ/mol of atoms. As for the total magnetic moment: 0.01 μB/atom.

# 4
The following is a SCAN calculation of AlAs3Au at its PBEsol-relaxed geometry, from Alexandria via LeMat-Bulk.

a = 4.7308 Å, b = 4.7308 Å, c = 4.7308 Å
α = 90.00°, β = 90.00°, γ = 90.00°
Fractional coordinates of all 5 atoms:
As: 0.0000 0.5000 0.0000
As: 0.5000 0.0000 0.0000
As: 0.0000 0.0000 0.5000
Au: 0.5000 0.5000 0.5000
Al: 0.0000 0.0000 0.0000

Summary:
As for the total magnetic moment: 0.00 μB/atom. As for the formation enthalpy at 0 K: 0.74 eV/atom.

# 5
The following is a SCAN calculation of InSe2S at its PBEsol-relaxed geometry, from Alexandria via LeMat-Bulk.

a = 3.4600 Å, b = 3.4600 Å, c = 9.2622 Å
α = 79.23°, β = 79.23°, γ = 60.00°
Fractional coordinates of all 4 atoms:
Se: 0.8921 0.8921 0.3238
Se: 0.1079 0.1079 0.6762
S: 0.5000 0.5000 0.5000
In: 0.0000 0.0000 0.0000

Summary:
For the raw formation energy, the calculation gives 1.5 eV per formula unit. As for the total magnetic moment: 0.00 μB/atom.

# 6
The following is a SCAN calculation of LaPdSe2 at its PBEsol-relaxed geometry, from Alexandria via LeMat-Bulk.

a = 5.2471 Å, b = 5.2471 Å, c = 8.5515 Å
α = 107.87°, β = 107.87°, γ = 90.00°
Fractional coordinates of all 8 atoms:
La: 0.2500 0.7500 0.5000
La: 0.0000 0.0000 0.0000
Pd: 0.7500 0.2500 0.5000
Pd: 0.5000 0.5000 0.0000
Se: 0.4421 0.8750 0.2500
Se: 0.8079 0.3750 0.2500
Se: 0.6250 0.5579 0.7500
Se: 0.1250 0.1921 0.7500

Summary:
As for the excess energy over the best structure of this formula in the dataset: 0.0 kJ/mol of atoms. For the raw formation energy, the calculation gives -4.5 eV per formula unit. As for the total magnetic moment: 0.00 μB/atom.

no.,calculated total energy (eV/atom)
1,-40.0089
2,-48.1598
3,-16.5300
4,-26.7568
5,-20.4082
6,-30.1265